Entry 1:
VASP calculation (PBE) on a relaxed Dy6YEr3Tm2 crystal.

Cell and atoms, written as POSCAR:
```
Dy6YEr3Tm2
1.0
6.106 0.002 0.007
-3.050 5.290 0.007
-1.027 -1.778 11.495
Dy Y Er Tm
6 1 3 2
Cartesian
3.050 1.747 8.629
2.034 3.522 2.886
-1.020 1.768 2.880
-0.011 3.515 8.629
-0.004 -0.008 8.622
2.041 0.000 2.880
0.000 0.000 0.000
-2.036 3.519 5.754
4.065 -0.005 5.754
1.015 1.757 5.754
0.002 3.528 0.007
3.054 1.765 0.007
```

## Properties
- Fermi-level density of states: 16.477 states/eV/cell
- Formation enthalpy at 0 K: 0.021 eV per atom
- Total magnetic moment: 0.0 μB per cell

---

Entry 2:
VASP calculation (PBE) on a relaxed Dy6Y2ErTm crystal.

Cell and atoms, written as POSCAR:
```
Dy6Y2ErTm
1.0
-3.106 7.636 4.716
-4.058 -5.644 5.305
8.424 1.737 1.576
Dy Y Er Tm
12 4 2 2
Cartesian
5.659 1.037 2.111
4.995 3.512 4.785
-4.400 2.692 9.486
-3.735 0.217 6.812
-1.338 -2.406 7.371
-2.747 -1.762 3.928
2.597 6.135 4.225
4.007 5.491 7.669
0.904 -2.235 5.104
-0.792 0.550 4.941
0.355 5.964 6.493
2.051 3.179 6.656
1.219 0.169 7.504
0.310 -1.017 2.118
0.041 3.560 4.092
0.949 4.746 9.479
-4.537 -3.559 6.395
5.796 7.288 5.202
2.538 0.625 4.281
-1.279 3.104 7.316
```

## Properties
- Fermi-level density of states: 27.541 states/eV/cell
- Formation enthalpy at 0 K: 0.124 eV per atom
- Total magnetic moment: 0.0 μB per cell